Here is a relaxed structure of Sr2TiMnO6 from Alexandria. Energies are from PBE with a Hubbard U.

abc: 3.934 3.934 7.776
angles: 90.00 90.00 90.00
Space group P4/mmm (No. 123)
Symmetry-distinct sites (fractional):
Sr 0.000 0.000 0.243
Ti 0.500 0.500 0.500
Mn 0.500 0.500 0.000
O 0.000 0.500 0.000
O 0.000 0.500 0.500
O 0.500 0.500 0.248

Summary:
* M_tot: 0.3296 μB per atom
* V: 120.4 Å³ per cell
* Fermi-level density of states: 4.33 states/eV/f.u.
* polymorph energy (0 for the lowest one): 0.0158 eV per atom
* density: 5.2 g/cm³